First-principles (PBE+U) data for a geometry-optimized Pa4Mn6O19 structure, as listed in Alexandria via LeMat-Bulk. Values from VASP.

Cell and atoms, written as Quantum ESPRESSO input:
```
&SYSTEM
  ibrav = 0, nat = 29, ntyp = 3
/
ATOMIC_SPECIES
O 16.00 O.upf
Pa 231.04 Pa.upf
Mn 54.94 Mn.upf
CELL_PARAMETERS angstrom
-6.7880 2.7016 2.7474
-1.3360 -4.6287 -6.1412
3.6322 -4.0689 5.5835
ATOMIC_POSITIONS crystal
O 0.7061 0.0000 0.7061
O 0.2400 0.9772 0.6244
O 0.3844 0.7372 0.7600
O 0.7372 0.7600 0.3844
O 0.3528 0.6156 0.3756
O 0.3756 0.3528 0.6156
O 0.0228 0.2628 0.6472
O 0.7061 0.7061 0.0000
O 0.7600 0.3844 0.7372
O 0.6472 0.0228 0.2628
O 0.0000 0.2939 0.2939
O 0.0000 0.7061 0.7061
O 0.2628 0.6472 0.0228
O 0.2939 0.2939 0.0000
O 0.6156 0.3756 0.3528
O 0.0000 0.0000 0.0000
O 0.6244 0.2400 0.9772
O 0.2939 0.0000 0.2939
O 0.9772 0.6244 0.2400
Pa 0.2964 0.2964 0.2964
Pa 0.0000 0.0000 0.7036
Pa 0.0000 0.7036 0.0000
Pa 0.7036 0.0000 0.0000
Mn 0.8193 0.3193 0.5000
Mn 0.5000 0.1807 0.6807
Mn 0.3193 0.5000 0.8193
Mn 0.6807 0.5000 0.1807
Mn 0.1807 0.6807 0.5000
Mn 0.5000 0.8193 0.3193
```

Calculated values
Crystal system   cubic
Total DFT energy (no corrections)   -246.22 eV/cell